one.
This record from Alexandria describes a relaxed structure of BaSc2Os. The functional is GGA-PBE.

Geometry as POSCAR:
```
BaSc2Os
1.0
5.096 0.000 0.000
0.000 5.096 0.000
0.000 0.000 7.155
Ba Sc Os
2 4 2
Cartesian
0.000 0.000 0.000
2.548 2.548 3.578
0.000 0.000 3.578
0.000 2.548 5.367
2.548 0.000 1.789
2.548 2.548 0.000
0.000 2.548 1.789
2.548 0.000 5.367
```

## Properties
density of states at the Fermi level	1.423	states/eV/atom
calculated density	7.46	g/cm³
SG	I-4m2, No. 119

***

two.
This record from Alexandria describes a relaxed structure of BaSc2Os. The functional is GGA-PBE.

Geometry as POSCAR:
```
BaSc2Os
1.0
3.390 0.000 0.000
-1.695 2.936 0.000
0.000 0.000 31.540
Ba Sc Os
3 6 3
Cartesian
0.000 0.000 0.000
0.000 1.957 21.027
1.695 0.979 10.513
0.000 0.000 7.057
0.000 0.000 14.765
0.000 1.957 4.251
0.000 1.957 28.084
1.695 0.979 17.571
1.695 0.979 25.278
0.000 0.000 23.505
0.000 1.957 12.992
1.695 0.979 2.479
```

## Properties
density of states at the Fermi level	1.646	states/eV/atom
calculated density	6.62	g/cm³
SG	R3m, No. 160

***

Quick one: least stable of them? one